Density functional theory data (GGA-PBE) for SmPuTh2 after structural relaxation.

abc: 3.4694 3.4694 36.8315
angles: 90.00 90.00 120.00
Space group R-3m (No. 166, hexagonal axes)
One atom of each set of equivalent atoms:
Sm 0.0000 0.0000 0.0000 (multiplicity 3)
Pu 0.0000 0.0000 0.5000 (multiplicity 3)
Th 0.0000 0.0000 0.4151 (multiplicity 6)

## Properties
- E above lowest polymorph (meV per atom) = 189
- raw total energy (eV per atom) = -8.17
- magnetization (μB/cell) = 18.544
- ΔH_f (0 K) (eV per formula unit) = 1.21